A plane-wave DFT calculation with PBE-GGA was carried out for a geometry-optimized TaFe2HIr structure.

## Properties
density of states at the Fermi level	0.914	states/eV per atom
space-group type	P4/mmm, No. 123
total energy	-8.4011	eV per atom

abc: 3.7477 3.7477 3.9207
angles: 90.00 90.00 90.00
Closest atoms and distances in Å follow each position.
Fractional positions:
Ta1 0.0000 0.0000 0.0000  2 H 1.96
Fe1 0.0000 0.5000 0.5000  2 H 1.87
Fe2 0.5000 0.0000 0.5000  2 H 1.87
H1 0.0000 0.0000 0.5000  4 Fe 1.87, 2 Ta 1.96
Ir1 0.5000 0.5000 0.0000  4 Ta 2.65, 8 Fe 2.71